This record from Alexandria via LeMat-Bulk describes a relaxed structure of NiWAu2. The functional is GGA-PBEsol.

CIF file:
```
data_NiWAu2
_chemical_formula_sum 'Ni2 W2 Au4'
_cell_length_a 4.014
_cell_length_b 4.014
_cell_length_c 7.407
_cell_angle_alpha 90.00
_cell_angle_beta 90.00
_cell_angle_gamma 90.00
_symmetry_space_group_name_H-M 'I 4/m m m'
_symmetry_Int_Tables_number 139
_symmetry_space_group_name_Hall '-I 4 2'
loop_
_atom_site_label
_atom_site_type_symbol
_atom_site_fract_x
_atom_site_fract_y
_atom_site_fract_z
_atom_site_occupancy
Ni1 Ni 0.000 0.000 0.000 1
W1 W 0.000 0.000 0.500 1
Au1 Au 0.000 0.500 0.250 1
```

Calculated values
Energy relative to the lowest polymorph listed for this composition   0.000 eV/atom
Crystal system   tetragonal

---

This record from Alexandria via LeMat-Bulk describes a relaxed structure of NiWAu2. The functional is GGA-PBEsol.

CIF file:
```
data_NiWAu2
_chemical_formula_sum 'Ni1 W1 Au2'
_cell_length_a 2.750
_cell_length_b 4.655
_cell_length_c 4.777
_cell_angle_alpha 90.00
_cell_angle_beta 90.00
_cell_angle_gamma 90.00
_symmetry_space_group_name_H-M 'P m m m'
_symmetry_Int_Tables_number 47
loop_
_symmetry_equiv_pos_as_xyz
'x,y,z'
'-x,-y,-z'
'-x,-y,z'
'x,y,-z'
'x,-y,-z'
'-x,y,z'
'-x,y,-z'
'x,-y,z'
loop_
_atom_site_label
_atom_site_type_symbol
_atom_site_fract_x
_atom_site_fract_y
_atom_site_fract_z
_atom_site_occupancy
Ni1 Ni 0.000 0.000 0.000 1
W1 W 0.500 0.500 0.000 1
Au1 Au 0.000 0.500 0.500 1
Au2 Au 0.500 0.000 0.500 1
```

Calculated values
Energy relative to the lowest polymorph listed for this composition   0.108 eV/atom
Crystal system   orthorhombic

---

This record from Alexandria via LeMat-Bulk describes a relaxed structure of Ni2WAu. The functional is GGA-PBEsol.

CIF file:
```
data_Ni2WAu
_chemical_formula_sum 'Ni2 W1 Au1'
_cell_length_a 2.695
_cell_length_b 2.695
_cell_length_c 7.329
_cell_angle_alpha 90.00
_cell_angle_beta 90.00
_cell_angle_gamma 90.00
_symmetry_space_group_name_H-M 'P 4/m m m'
_symmetry_Int_Tables_number 123
_symmetry_space_group_name_Hall '-P 4 2'
loop_
_atom_site_label
_atom_site_type_symbol
_atom_site_fract_x
_atom_site_fract_y
_atom_site_fract_z
_atom_site_occupancy
Ni1 Ni 0.000 0.000 0.239 1
W1 W 0.500 0.500 0.000 1
Au1 Au 0.500 0.500 0.500 1
```

Calculated values
Energy relative to the lowest polymorph listed for this composition   0.000 eV/atom
Crystal system   tetragonal

---

This record from Alexandria via LeMat-Bulk describes a relaxed structure of Ni6WAu. The functional is GGA-PBEsol.

CIF file:
```
data_Ni6WAu
_chemical_formula_sum 'Ni48 W8 Au8'
_cell_length_a 7.217
_cell_length_b 10.194
_cell_length_c 10.232
_cell_angle_alpha 90.00
_cell_angle_beta 90.00
_cell_angle_gamma 90.00
_symmetry_space_group_name_H-M 'C m m m'
_symmetry_Int_Tables_number 65
_symmetry_space_group_name_Hall '-C 2 2'
loop_
_atom_site_label
_atom_site_type_symbol
_atom_site_fract_x
_atom_site_fract_y
_atom_site_fract_z
_atom_site_occupancy
Ni1 Ni 0.000 0.000 0.000 1
Ni2 Ni 0.000 0.000 0.500 1
Ni3 Ni 0.000 0.246 0.242 1
Ni4 Ni 0.000 0.500 0.000 1
Ni5 Ni 0.000 0.500 0.500 1
Ni6 Ni 0.242 0.123 0.370 1
Ni7 Ni 0.246 0.127 0.121 1
W1 W 0.000 0.000 0.255 1
W2 W 0.000 0.247 0.000 1
Au1 Au 0.000 0.254 0.500 1
Au2 Au 0.000 0.500 0.251 1
```

Calculated values
Crystal system   orthorhombic

---

This record from Alexandria via LeMat-Bulk describes a relaxed structure of Y2Ni2Au. The functional is GGA-PBEsol.

CIF file:
```
data_Y2Ni2Au
_chemical_formula_sum 'Y4 Ni4 Au2'
_cell_length_a 7.017
_cell_length_b 7.017
_cell_length_c 3.689
_cell_angle_alpha 90.00
_cell_angle_beta 90.00
_cell_angle_gamma 90.00
_symmetry_space_group_name_H-M 'P 4/m b m'
_symmetry_Int_Tables_number 127
_symmetry_space_group_name_Hall '-P 4 2ab'
loop_
_atom_site_label
_atom_site_type_symbol
_atom_site_fract_x
_atom_site_fract_y
_atom_site_fract_z
_atom_site_occupancy
Y1 Y 0.179 0.321 0.000 1
Ni1 Ni 0.119 0.619 0.500 1
Au1 Au 0.000 0.000 0.500 1
```

Calculated values
Crystal system   tetragonal

---

This record from Alexandria via LeMat-Bulk describes a relaxed structure of YNi4Au. The functional is GGA-PBEsol.

CIF file:
```
data_YNi4Au
_chemical_formula_sum 'Y4 Ni16 Au4'
_cell_length_a 6.863
_cell_length_b 6.863
_cell_length_c 6.863
_cell_angle_alpha 90.00
_cell_angle_beta 90.00
_cell_angle_gamma 90.00
_symmetry_space_group_name_H-M 'F -4 3 m'
_symmetry_Int_Tables_number 216
_symmetry_space_group_name_Hall 'F -4 2 3'
loop_
_atom_site_label
_atom_site_type_symbol
_atom_site_fract_x
_atom_site_fract_y
_atom_site_fract_z
_atom_site_occupancy
Y1 Y 0.000 0.000 0.000 1
Ni1 Ni 0.124 0.124 0.376 1
Au1 Au 0.250 0.250 0.750 1
```

Calculated values
Crystal system   cubic

---

This record from Alexandria via LeMat-Bulk describes a relaxed structure of ZnNiAu. The functional is GGA-PBEsol.

CIF file:
```
data_ZnNiAu
_chemical_formula_sum 'Zn2 Ni2 Au2'
_cell_length_a 2.788
_cell_length_b 2.788
_cell_length_c 10.401
_cell_angle_alpha 90.00
_cell_angle_beta 90.00
_cell_angle_gamma 90.00
_symmetry_space_group_name_H-M 'I 4 m m'
_symmetry_Int_Tables_number 107
_symmetry_space_group_name_Hall 'I 4 -2'
loop_
_atom_site_label
_atom_site_type_symbol
_atom_site_fract_x
_atom_site_fract_y
_atom_site_fract_z
_atom_site_occupancy
Zn1 Zn 0.000 0.000 0.000 1
Ni1 Ni 0.000 0.000 0.358 1
Au1 Au 0.000 0.000 0.684 1
```

Calculated values
Crystal system   tetragonal

---

This record from Alexandria via LeMat-Bulk describes a relaxed structure of Zn2NiAu. The functional is GGA-PBEsol.

CIF file:
```
data_Zn2NiAu
_chemical_formula_sum 'Zn4 Ni2 Au2'
_cell_length_a 3.693
_cell_length_b 3.693
_cell_length_c 7.902
_cell_angle_alpha 90.00
_cell_angle_beta 90.00
_cell_angle_gamma 90.00
_symmetry_space_group_name_H-M 'I -4 m 2'
_symmetry_Int_Tables_number 119
_symmetry_space_group_name_Hall 'I -4 -2'
loop_
_atom_site_label
_atom_site_type_symbol
_atom_site_fract_x
_atom_site_fract_y
_atom_site_fract_z
_atom_site_occupancy
Zn1 Zn 0.000 0.000 0.000 1
Zn2 Zn 0.000 0.500 0.250 1
Ni1 Ni 0.000 0.500 0.750 1
Au1 Au 0.000 0.000 0.500 1
```

Calculated values
Crystal system   tetragonal

---

Computed values of energy of formation from the pure elements (unit: eV per atom) for the preceding records, in sequence: 0.3597 0.4679 0.0043 -0.0389 -0.5758 -0.3906 -0.1402 -0.1850.